1.
This record from the Alexandria database describes crystalline Nd2Mn2InRh5 at its relaxed geometry. The functional is PBE-GGA.

Output
SG: P4/mbm (127)
Formation energy in eV/f.u.: -3.81
Final energy in eV/atom: -7.12
Total magnetization in μB per formula unit: 7.23
Fermi-level density of states in states/eV per atom: 0.712

Cell and atoms, written as extended XYZ:
```
20
Lattice="9.7543 0.0000 0.0000 0.0000 9.7543 0.0000 0.0000 0.0000 3.7849" Properties=species:S:1:pos:R:3 pbc="T T T"
Nd 1.7599 3.1173 0.0000
Nd 3.1173 7.9944 0.0000
Nd 6.6371 1.7599 0.0000
Nd 7.9944 6.6371 0.0000
Mn 1.1470 6.0242 0.0000
Mn 3.7301 1.1470 0.0000
Mn 6.0242 8.6073 0.0000
Mn 8.6073 3.7301 0.0000
In 0.0000 0.0000 0.0000
In 4.8772 4.8772 0.0000
Rh 0.0000 4.8772 1.8925
Rh 0.6293 7.6840 1.8925
Rh 2.0704 0.6293 1.8925
Rh 2.8068 5.5065 1.8925
Rh 4.2478 2.8068 1.8925
Rh 4.8772 0.0000 1.8925
Rh 5.5065 6.9476 1.8925
Rh 6.9476 4.2478 1.8925
Rh 7.6840 9.1250 1.8925
Rh 9.1250 2.0704 1.8925
```

***

2.
This record from the Alexandria database describes crystalline NdTmMnIn at its relaxed geometry. The functional is PBE-GGA.

Output
SG: F-43m (216)
Formation energy in eV/f.u.: -0.30
Final energy in eV/atom: -5.36
Total magnetization in μB per formula unit: 3.37
Fermi-level density of states in states/eV per atom: 1.084

Cell and atoms, written as extended XYZ:
```
4
Lattice="0.0000 3.7132 3.7132 3.7132 0.0000 3.7132 3.7132 3.7132 0.0000" Properties=species:S:1:pos:R:3 pbc="T T T"
Nd 0.0000 0.0000 0.0000
Tm 3.7132 3.7132 3.7132
Mn 5.5698 5.5698 5.5698
In 1.8566 1.8566 1.8566
```

***

3.
This record from the Alexandria database describes crystalline Mn2InNi at its relaxed geometry. The functional is PBE-GGA.

Output
SG: Imm2 (44)
Formation energy in eV/f.u.: 0.71
Final energy in eV/atom: -6.54
Total magnetization in μB per formula unit: 7.61
Fermi-level density of states in states/eV per atom: 0.716

Cell and atoms, written as extended XYZ:
```
4
Lattice="-1.5917 2.1726 4.3861 1.5917 -2.1726 4.3861 1.5917 2.1726 -4.3861" Properties=species:S:1:pos:R:3 pbc="T T T"
Mn 0.0000 0.0000 0.0000
Mn 0.0000 2.1726 2.0403
In 0.0000 0.0000 4.0573
Ni 1.5917 0.0000 1.8993
```

***

4.
This record from the Alexandria database describes crystalline Mn4InNi15 at its relaxed geometry. The functional is PBE-GGA.

Output
SG: P4/mmm (123)
Formation energy in eV/f.u.: -1.76
Final energy in eV/atom: -6.39
Total magnetization in μB per formula unit: 19.79
Fermi-level density of states in states/eV per atom: 1.051

Cell and atoms, written as extended XYZ:
```
20
Lattice="3.6066 0.0000 0.0000 0.0000 3.6066 0.0000 0.0000 0.0000 17.9526" Properties=species:S:1:pos:R:3 pbc="T T T"
Mn 0.0000 0.0000 1.7603
Mn 0.0000 0.0000 5.2857
Mn 0.0000 0.0000 12.6670
Mn 0.0000 0.0000 16.1924
In 0.0000 0.0000 8.9763
Ni 0.0000 1.8033 0.0000
Ni 0.0000 1.8033 3.5204
Ni 0.0000 1.8033 7.0166
Ni 0.0000 1.8033 10.9360
Ni 0.0000 1.8033 14.4322
Ni 1.8033 0.0000 0.0000
Ni 1.8033 0.0000 3.5204
Ni 1.8033 0.0000 7.0166
Ni 1.8033 0.0000 10.9360
Ni 1.8033 0.0000 14.4322
Ni 1.8033 1.8033 1.7622
Ni 1.8033 1.8033 5.2835
Ni 1.8033 1.8033 8.9763
Ni 1.8033 1.8033 12.6691
Ni 1.8033 1.8033 16.1904
```

***

5.
This record from the Alexandria database describes crystalline Mn2In2Ni at its relaxed geometry. The functional is PBE-GGA.

Output
SG: P4/mbm (127)
Formation energy in eV/f.u.: 1.52
Final energy in eV/atom: -5.61
Total magnetization in μB per formula unit: 3.42
Fermi-level density of states in states/eV per atom: 0.828

Cell and atoms, written as extended XYZ:
```
10
Lattice="6.1828 0.0000 0.0000 0.0000 6.1828 0.0000 0.0000 0.0000 4.1934" Properties=species:S:1:pos:R:3 pbc="T T T"
Mn 0.7493 2.3421 0.0000
Mn 2.3421 5.4335 0.0000
Mn 3.8408 0.7493 0.0000
Mn 5.4335 3.8408 0.0000
In 1.1263 4.2177 2.0967
In 1.9652 1.1263 2.0967
In 4.2177 5.0566 2.0967
In 5.0566 1.9652 2.0967
Ni 0.0000 0.0000 0.0000
Ni 3.0914 3.0914 0.0000
```

***

6.
This record from the Alexandria database describes crystalline Mn2InNi at its relaxed geometry. The functional is PBE-GGA.

Output
SG: F-43m (216)
Formation energy in eV/f.u.: 0.28
Final energy in eV/atom: -6.64
Total magnetization in μB per formula unit: 0.67
Fermi-level density of states in states/eV per atom: 0.668

Cell and atoms, written as extended XYZ:
```
4
Lattice="0.0000 3.0790 3.0790 3.0790 0.0000 3.0790 3.0790 3.0790 0.0000" Properties=species:S:1:pos:R:3 pbc="T T T"
Mn 0.0000 0.0000 0.0000
Mn 1.5395 1.5395 1.5395
In 4.6185 4.6185 4.6185
Ni 3.0790 3.0790 3.0790
```

***

7.
This record from the Alexandria database describes crystalline Mn3InNi at its relaxed geometry. The functional is PBE-GGA.

Output
SG: Pm-3m (221)
Formation energy in eV/f.u.: 8.02
Final energy in eV/atom: -5.60
Total magnetization in μB per formula unit: 12.91
Energy above the most stable polymorph in this dataset in meV per atom: 972.6
Fermi-level density of states in states/eV per atom: 1.395

Cell and atoms, written as extended XYZ:
```
5
Lattice="4.9505 0.0000 0.0000 0.0000 4.9505 0.0000 0.0000 0.0000 4.9505" Properties=species:S:1:pos:R:3 pbc="T T T"
Mn 0.0000 0.0000 2.4753
Mn 0.0000 2.4753 0.0000
Mn 2.4753 0.0000 0.0000
In 0.0000 0.0000 0.0000
Ni 2.4753 2.4753 2.4753
```

***

8.
This record from the Alexandria database describes crystalline MnIn2Ni2 at its relaxed geometry. The functional is PBE-GGA.

Output
SG: P4/mbm (127)
Formation energy in eV/f.u.: 0.10
Final energy in eV/atom: -5.22
Total magnetization in μB per formula unit: 4.29
Fermi-level density of states in states/eV per atom: 0.633

Cell and atoms, written as extended XYZ:
```
10
Lattice="6.5008 0.0000 0.0000 0.0000 6.5008 0.0000 0.0000 0.0000 3.8421" Properties=species:S:1:pos:R:3 pbc="T T T"
Mn 0.0000 0.0000 0.0000
Mn 3.2504 3.2504 0.0000
In 1.1087 2.1417 1.9211
In 2.1417 5.3921 1.9211
In 4.3591 1.1087 1.9211
In 5.3921 4.3591 1.9211
Ni 0.8665 4.1169 0.0000
Ni 2.3840 0.8665 0.0000
Ni 4.1169 5.6344 0.0000
Ni 5.6344 2.3840 0.0000
```

***

9.
This record from the Alexandria database describes crystalline Mn2InNi at its relaxed geometry. The functional is PBE-GGA.

Output
SG: P2/m (10)
Formation energy in eV/f.u.: 0.51
Final energy in eV/atom: -6.59
Total magnetization in μB per formula unit: 7.91
Fermi-level density of states in states/eV per atom: 0.731

Cell and atoms, written as extended XYZ:
```
4
Lattice="3.0209 0.0000 0.0000 0.0000 2.9915 0.0000 -0.0120 0.0000 6.7744" Properties=species:S:1:pos:R:3 pbc="T T T"
Mn -0.0014 0.0000 1.4127
Mn 3.0102 0.0000 5.3618
In 1.5044 1.4957 3.3872
Ni 1.5105 1.4957 0.0000
```

***

10.
This record from the Alexandria database describes crystalline Mn2InNi at its relaxed geometry. The functional is PBE-GGA.

Output
SG: I-42d (122)
Formation energy in eV/f.u.: 1.73
Final energy in eV/atom: -6.28
Total magnetization in μB per formula unit: 7.57
Fermi-level density of states in states/eV per atom: 1.553

Cell and atoms, written as extended XYZ:
```
8
Lattice="-3.5364 3.5364 2.6329 3.5364 -3.5364 2.6329 3.5364 3.5364 -2.6329" Properties=species:S:1:pos:R:3 pbc="T T T"
Mn 5.3046 1.4430 -0.6582
Mn 1.4430 1.7682 0.6582
Mn -1.7682 2.0934 1.9747
Mn 2.0934 1.7682 3.2911
In 3.5364 0.0000 1.3165
In 0.0000 0.0000 2.6329
Ni 0.0000 0.0000 0.0000
Ni 0.0000 3.5364 1.3165
```

***

11.
This record from the Alexandria database describes crystalline Mn2InNi at its relaxed geometry. The functional is PBE-GGA.

Output
SG: P4/mmm (123)
Formation energy in eV/f.u.: 0.55
Final energy in eV/atom: -6.58
Total magnetization in μB per formula unit: 7.01
Fermi-level density of states in states/eV per atom: 0.914

Cell and atoms, written as extended XYZ:
```
4
Lattice="3.8799 0.0000 0.0000 0.0000 3.8799 0.0000 0.0000 0.0000 3.9327" Properties=species:S:1:pos:R:3 pbc="T T T"
Mn 0.0000 1.9400 0.0000
Mn 1.9400 0.0000 0.0000
In 0.0000 0.0000 1.9663
Ni 1.9400 1.9400 1.9663
```

***

12.
This record from the Alexandria database describes crystalline MnInNi4 at its relaxed geometry. The functional is PBE-GGA.

Output
SG: I4_1/a (88)
Formation energy in eV/f.u.: 2.18
Final energy in eV/atom: -5.48
Total magnetization in μB per formula unit: 4.22
Fermi-level density of states in states/eV per atom: 0.941

Cell and atoms, written as extended XYZ:
```
12
Lattice="-3.1886 3.1886 4.3313 3.1886 -3.1886 4.3313 3.1886 3.1886 -4.3313" Properties=species:S:1:pos:R:3 pbc="T T T"
Mn 0.0000 1.5943 1.0828
Mn 3.1886 1.5943 3.2485
In 3.1886 1.5943 -1.0828
In 0.0000 1.5943 5.4141
Ni 5.5958 -0.6065 0.9190
Ni 2.2008 0.8130 1.2466
Ni 2.4073 -0.6065 3.4123
Ni 2.2008 4.0015 -1.2466
Ni 0.9878 -0.8130 5.5779
Ni 0.7813 3.7951 0.9190
Ni 0.9878 2.3756 3.0847
Ni -2.4073 3.7951 3.4123
```

***

13.
This record from the Alexandria database describes crystalline Mn2InNi at its relaxed geometry. The functional is PBE-GGA.

Output
SG: R-3m (166)
Formation energy in eV/f.u.: 1.28
Final energy in eV/atom: -6.39
Total magnetization in μB per formula unit: 7.90
Fermi-level density of states in states/eV per atom: 0.952

Cell and atoms, written as extended XYZ:
```
4
Lattice="1.4892 0.8598 8.3063 -1.4892 0.8598 8.3063 0.0000 -1.7196 8.3063" Properties=species:S:1:pos:R:3 pbc="T T T"
Mn 0.0000 0.0000 5.9582
Mn 0.0000 0.0000 18.9606
In 0.0000 0.0000 0.0000
Ni 0.0000 0.0000 12.4594
```

***

14.
This record from the Alexandria database describes crystalline MnIn4Ni15 at its relaxed geometry. The functional is PBE-GGA.

Output
SG: P4/mmm (123)
Formation energy in eV/f.u.: -1.02
Final energy in eV/atom: -5.39
Total magnetization in μB per formula unit: 7.07
Fermi-level density of states in states/eV per atom: 1.107

Cell and atoms, written as extended XYZ:
```
20
Lattice="3.7149 0.0000 0.0000 0.0000 3.7149 0.0000 0.0000 0.0000 18.4477" Properties=species:S:1:pos:R:3 pbc="T T T"
Mn 0.0000 0.0000 0.0000
In 0.0000 0.0000 3.5746
In 0.0000 0.0000 7.3388
In 0.0000 0.0000 11.1089
In 0.0000 0.0000 14.8730
Ni 0.0000 1.8574 1.6709
Ni 0.0000 1.8574 5.4492
Ni 0.0000 1.8574 9.2238
Ni 0.0000 1.8574 12.9985
Ni 0.0000 1.8574 16.7768
Ni 1.8574 0.0000 1.6709
Ni 1.8574 0.0000 5.4492
Ni 1.8574 0.0000 9.2238
Ni 1.8574 0.0000 12.9985
Ni 1.8574 0.0000 16.7768
Ni 1.8574 1.8574 0.0000
Ni 1.8574 1.8574 3.5554
Ni 1.8574 1.8574 7.3331
Ni 1.8574 1.8574 11.1146
Ni 1.8574 1.8574 14.8923
```

***

15.
This record from the Alexandria database describes crystalline Mn2InNi at its relaxed geometry. The functional is PBE-GGA.

Output
SG: Cmmm (65)
Formation energy in eV/f.u.: 0.83
Final energy in eV/atom: -6.51
Total magnetization in μB per formula unit: 7.26
Fermi-level density of states in states/eV per atom: 0.794

Cell and atoms, written as extended XYZ:
```
4
Lattice="2.7635 -3.7173 0.0000 2.7635 3.7173 0.0000 0.0000 0.0000 2.9165" Properties=species:S:1:pos:R:3 pbc="T T T"
Mn 1.3818 1.8586 0.0000
Mn 1.3818 -1.8586 0.0000
In 0.0000 0.0000 1.4582
Ni 2.7635 0.0000 1.4582
```

***

16.
This record from the Alexandria database describes crystalline Mn2InNi at its relaxed geometry. The functional is PBE-GGA.

Output
SG: R3m (160)
Formation energy in eV/f.u.: 1.42
Final energy in eV/atom: -6.36
Total magnetization in μB per formula unit: 6.93
Fermi-level density of states in states/eV per atom: 0.575

Cell and atoms, written as extended XYZ:
```
4
Lattice="1.4380 0.8302 8.5424 -1.4380 0.8302 8.5424 0.0000 -1.6605 8.5424" Properties=species:S:1:pos:R:3 pbc="T T T"
Mn 0.0000 0.0000 0.0000
Mn 0.0000 0.0000 6.4348
In 0.0000 0.0000 19.4393
Ni 0.0000 0.0000 13.0661
```

***

17.
This record from the Alexandria database describes crystalline Mn3InNi at its relaxed geometry. The functional is PBE-GGA.

Output
SG: Pm-3m (221)
Formation energy in eV/f.u.: 3.16
Final energy in eV/atom: -6.57
Total magnetization in μB per formula unit: 12.11
Energy above the most stable polymorph in this dataset in meV per atom: 0.0
Fermi-level density of states in states/eV per atom: 1.197

Cell and atoms, written as extended XYZ:
```
5
Lattice="4.5332 0.0000 0.0000 0.0000 4.5332 0.0000 0.0000 0.0000 4.5332" Properties=species:S:1:pos:R:3 pbc="T T T"
Mn 0.0000 0.0000 2.2666
Mn 0.0000 2.2666 0.0000
Mn 2.2666 0.0000 0.0000
In 2.2666 2.2666 2.2666
Ni 0.0000 0.0000 0.0000
```

***

18.
This record from the Alexandria database describes crystalline Mn2InNi at its relaxed geometry. The functional is PBE-GGA.

Output
SG: I-4m2 (119)
Formation energy in eV/f.u.: 0.69
Final energy in eV/atom: -6.54
Total magnetization in μB per formula unit: 7.24
Fermi-level density of states in states/eV per atom: 0.906

Cell and atoms, written as extended XYZ:
```
4
Lattice="-1.9484 1.9484 3.9222 1.9484 -1.9484 3.9222 1.9484 1.9484 -3.9222" Properties=species:S:1:pos:R:3 pbc="T T T"
Mn 0.0000 0.0000 0.0000
Mn 0.0000 1.9484 1.9611
In 0.0000 0.0000 3.9222
Ni 1.9484 0.0000 1.9611
```

***

19.
This record from the Alexandria database describes crystalline Mn2InNi at its relaxed geometry. The functional is PBE-GGA.

Output
SG: Pmm2 (25)
Formation energy in eV/f.u.: 0.18
Final energy in eV/atom: -6.67
Total magnetization in μB per formula unit: 0.40
Fermi-level density of states in states/eV per atom: 0.930

Cell and atoms, written as extended XYZ:
```
4
Lattice="3.0390 0.0000 0.0000 0.0000 3.1020 0.0000 0.0000 0.0000 6.1722" Properties=species:S:1:pos:R:3 pbc="T T T"
Mn 0.0000 0.0000 0.0000
Mn 1.5195 1.5510 1.2563
In 1.5195 1.5510 4.2574
Ni 0.0000 0.0000 2.5775
```

***

20.
This record from the Alexandria database describes crystalline Mn2InNi at its relaxed geometry. The functional is PBE-GGA.

Output
SG: Immm (71)
Formation energy in eV/f.u.: 0.55
Final energy in eV/atom: -6.58
Total magnetization in μB per formula unit: 7.13
Fermi-level density of states in states/eV per atom: 0.869

Cell and atoms, written as extended XYZ:
```
4
Lattice="-1.9488 1.9576 3.8845 1.9488 -1.9576 3.8845 1.9488 1.9576 -3.8845" Properties=species:S:1:pos:R:3 pbc="T T T"
Mn 0.0000 0.0000 1.9383
Mn 0.0000 0.0000 5.8306
In 0.0000 1.9576 0.0000
Ni 1.9488 0.0000 0.0000
```